Computed, not measured: a relaxed structure of Ce2Nd3S8 at the PBE level of DFT.

abc: 4.7439 9.8288 8.4339
angles: 125.66 90.00 90.00
Each line ends with the local moment (μB).
Atoms (fractional coordinates):
Nd: 0.0000 0.7162 0.0001  0.00
Nd: 0.0000 0.2838 0.9999  0.00
S: 0.5000 0.3679 0.2506  -0.02
Ce: 0.5000 0.7351 0.4702  0.56
S: 0.0000 0.1214 0.2428  -0.02
S: 0.5000 0.8828 0.2507  -0.02
S: 0.0000 0.6300 0.2600  -0.02
S: 0.0000 0.3700 0.7400  -0.02
S: 0.5000 0.6321 0.7494  -0.02
Ce: 0.5000 0.2649 0.5298  0.56
S: 0.5000 0.1172 0.7493  -0.02
Nd: 0.5000 0.0000 0.0000  0.03
S: 0.0000 0.8786 0.7572  -0.02

Symmetry: No. 65
Final energy, eV per atom: -6.390
Crystal system: orthorhombic

***

Computed, not measured: a relaxed structure of MgAg3 at the PBE level of DFT.

abc: 5.1493 5.1493 5.1493
angles: 90.00 90.00 90.00
Atoms (fractional coordinates):
Mg: 0.0000 0.0000 0.0000
Ag: 0.0000 0.5000 0.0000
Ag: 0.0000 0.0000 0.5000
Ag: 0.5000 0.0000 0.0000

Symmetry: No. 221
Crystal system: cubic
Energy relative to the elements, eV per atom: 0.801

***

Computed, not measured: a relaxed structure of CoRu3S at the PBE level of DFT.

abc: 4.2669 4.2669 4.2669
angles: 90.00 90.00 90.00
Atoms (fractional coordinates):
Co: 0.5000 0.5000 0.5000
Ru: 0.5000 0.0000 0.0000
S: 0.0000 0.0000 0.0000
Ru: 0.0000 0.0000 0.5000
Ru: 0.0000 0.5000 0.0000

Symmetry: No. 221
Final energy, eV per atom: -6.969
Crystal system: cubic

***

Computed, not measured: a relaxed structure of Sm2BO4 at the PBE level of DFT.

abc: 3.8998 3.8998 7.7003
angles: 104.67 104.67 90.00
Atoms (fractional coordinates):
Sm: 0.6673 0.6673 0.3347
Sm: 0.3327 0.3327 0.6653
O: 0.2500 0.7500 0.5000
O: 0.0895 0.0895 0.1791
B: 0.0000 0.0000 0.0000
O: 0.9105 0.9105 0.8209
O: 0.7500 0.2500 0.5000

Symmetry: No. 139
Final energy, eV per atom: -7.907
Crystal system: tetragonal

***

Results for N(E_F): 0.722 0.456 1.707 0.263 (in states/eV/atom, following the order of the records).
Results for magnetic moment: 0.0809 0.0000 0.0000 0.0105 (in μB per atom, following the order of the records).